P:
Here is crystalline TlSbTe2Rh at its relaxed geometry from Alexandria. Energies are from GGA-PBE.

## Properties
V	152.65	Å³ per cell

a b c (Å): 5.552 5.552 4.953
angles (deg): 90.00 90.00 90.00
Space group P4/mmm (No. 123)
One atom of each set of equivalent atoms:
Tl 0.000 0.000 0.000 (multiplicity 1)
Sb 0.500 0.500 0.000 (multiplicity 1)
Te 0.000 0.500 0.500 (multiplicity 2)
Rh 0.500 0.500 0.500 (multiplicity 1)

Q:
Here is crystalline TlSbTe2Rh at its relaxed geometry from Alexandria. Energies are from GGA-PBE.

## Properties
V	181.96	Å³ per cell

a b c (Å): 5.723 5.723 5.556
angles (deg): 90.00 90.00 90.00
Space group P4/mmm (No. 123)
One atom of each set of equivalent atoms:
Tl 0.000 0.000 0.000 (multiplicity 1)
Sb 0.000 0.000 0.500 (multiplicity 1)
Te 0.000 0.500 0.000 (multiplicity 2)
Rh 0.500 0.500 0.500 (multiplicity 1)

The most stable arrangement is P, and the next structure is 1.253 eV/atom less stable.